A plane-wave DFT calculation with PBE was carried out for a geometry-optimized InTcI3 structure.

```
InTcI3
1.0
5.6373 0.0000 0.0000
0.0000 5.6373 0.0000
0.0000 0.0000 5.6373
In Tc I
1 1 3
Cartesian
0.0000 0.0000 0.0000
2.8186 2.8186 2.8186
0.0000 2.8186 2.8186
2.8186 0.0000 2.8186
2.8186 2.8186 0.0000
```

Summary:
* total moment: 3.2 μB per cell
* SG: No. 221
* calculated total energy: -3.41 eV per atom
* formation energy without anion corrections: 0.14 eV/atom

***

A plane-wave DFT calculation with PBE was carried out for a geometry-optimized In2TcI structure.

```
In2TcI
1.0
0.0000 3.8197 3.8197
3.8197 0.0000 3.8197
3.8197 3.8197 0.0000
In Tc I
2 1 1
Cartesian
1.9098 1.9098 1.9098
5.7295 5.7295 5.7295
0.0000 0.0000 0.0000
3.8197 3.8197 3.8197
```

Summary:
* total moment: 3.7 μB per cell
* SG: No. 225
* calculated total energy: -3.39 eV per atom
* formation energy without anion corrections: 0.95 eV/atom

***

A plane-wave DFT calculation with PBE was carried out for a geometry-optimized InTcTe2I structure.

```
InTcTe2I
1.0
5.1930 0.0000 0.0000
0.0000 5.1930 0.0000
0.0000 0.0000 5.9408
In Tc Te I
1 1 2 1
Cartesian
0.0000 0.0000 0.0000
2.5965 2.5965 2.9704
0.0000 2.5965 2.9704
2.5965 0.0000 2.9704
2.5965 2.5965 0.0000
```

Summary:
* total moment: 0.0 μB per cell
* SG: No. 123
* calculated total energy: -3.95 eV per atom
* formation energy without anion corrections: 0.24 eV/atom

***

A plane-wave DFT calculation with PBE was carried out for a geometry-optimized InTcTeI2 structure.

```
InTcTeI2
1.0
5.8017 0.0000 0.0000
0.0000 5.8017 0.0000
0.0000 0.0000 5.8148
In Tc Te I
1 1 1 2
Cartesian
0.0000 0.0000 0.0000
2.9008 2.9008 2.9074
0.0000 0.0000 2.9074
0.0000 2.9008 0.0000
2.9008 0.0000 0.0000
```

Summary:
* total moment: 5.1 μB per cell
* SG: No. 123
* calculated total energy: -2.95 eV per atom
* formation energy without anion corrections: 0.92 eV/atom

***

A plane-wave DFT calculation with PBE was carried out for a geometry-optimized InTcTeI2 structure.

```
InTcTeI2
1.0
5.7398 0.0000 0.0000
0.0000 5.7398 0.0000
0.0000 0.0000 5.0602
In Tc Te I
1 1 1 2
Cartesian
0.0000 0.0000 0.0000
2.8699 2.8699 2.5301
2.8699 2.8699 0.0000
0.0000 2.8699 2.5301
2.8699 0.0000 2.5301
```

Summary:
* total moment: 0.7 μB per cell
* SG: No. 123
* calculated total energy: -3.66 eV per atom
* formation energy without anion corrections: 0.20 eV/atom

***

A plane-wave DFT calculation with PBE was carried out for a geometry-optimized InTcTe2I structure.

```
InTcTe2I
1.0
5.6791 0.0000 0.0000
0.0000 5.6791 0.0000
0.0000 0.0000 5.7884
In Tc Te I
1 1 2 1
Cartesian
0.0000 0.0000 0.0000
2.8396 2.8396 2.8942
0.0000 2.8396 0.0000
2.8396 0.0000 0.0000
0.0000 0.0000 2.8942
```

Summary:
* total moment: 5.2 μB per cell
* SG: No. 123
* calculated total energy: -3.13 eV per atom
* formation energy without anion corrections: 1.05 eV/atom

***

A plane-wave DFT calculation with PBE was carried out for a geometry-optimized VIn2TcI structure.

```
VIn2TcI
1.0
6.0622 0.0000 0.0000
0.0000 6.0622 0.0000
0.0000 0.0000 5.1686
V In Tc I
1 2 1 1
Cartesian
0.0000 0.0000 0.0000
0.0000 3.0311 2.5843
3.0311 0.0000 2.5843
3.0311 3.0311 0.0000
0.0000 0.0000 2.5843
```

Summary:
* total moment: 7.9 μB per cell
* SG: No. 123
* calculated total energy: -3.51 eV per atom
* formation energy without anion corrections: 1.79 eV/atom

***

A plane-wave DFT calculation with PBE was carried out for a geometry-optimized InTeI2 structure.

```
InTeI2
1.0
-2.8864 2.8864 10.3572
2.8864 -2.8864 10.3572
2.8864 2.8864 -10.3572
In Te I
2 2 4
Cartesian
0.0000 0.0000 0.0000
0.0000 2.8864 5.1786
2.8864 0.0000 5.1786
0.0000 0.0000 10.3572
1.4432 -1.2380 7.7679
1.6484 1.4432 2.5893
1.4432 4.1244 -2.5893
1.2380 1.4432 12.9465
```

Summary:
* total moment: 0.0 μB per cell
* SG: No. 122
* calculated total energy: -2.18 eV per atom
* formation energy without anion corrections: 0.06 eV/atom

***

A plane-wave DFT calculation with PBE was carried out for a geometry-optimized InTeI structure.

```
InTeI
1.0
7.1016 0.0000 0.0000
0.0000 4.3811 0.0000
-3.5312 0.0000 7.8320
In Te I
2 2 2
Cartesian
0.0000 0.0000 0.0000
-0.0346 0.0000 5.3022
2.5807 2.1906 5.1514
4.1393 0.0000 4.0359
-0.8486 2.1906 2.5354
-0.9656 2.1906 7.5042
```

Summary:
* total moment: 0.0 μB per cell
* SG: No. 6
* calculated total energy: -2.70 eV per atom
* formation energy without anion corrections: -0.23 eV/atom

***

A plane-wave DFT calculation with PBE was carried out for a geometry-optimized InTeI7 structure.

```
InTeI7
1.0
15.8736 0.0000 0.0000
0.0000 7.6050 0.0000
0.0000 0.0000 31.0674
In Te I
8 8 56
Cartesian
2.6853 1.7345 0.0000
3.7090 2.7859 7.3213
4.2279 6.5885 22.8550
5.2515 5.5370 15.5337
10.6221 2.0680 0.0000
11.6458 1.0166 7.3213
12.1647 4.8191 22.8550
13.1883 5.8705 15.5337
1.6790 1.0573 18.4065
2.0735 7.1847 9.8315
5.8633 3.3822 25.3652
6.2578 4.8598 2.8728
9.6159 2.7452 18.4065
10.0103 4.2228 9.8315
13.8002 0.4203 25.3652
14.1946 6.5477 2.8728
0.2216 1.9176 24.9271
0.3242 2.1886 20.5319
0.3889 2.5161 16.3770
0.9650 3.3096 29.5463
0.9903 1.3536 11.6631
1.1686 1.7420 7.1278
1.5293 1.1571 2.4623
2.6962 6.0165 20.6380
2.7905 6.7964 15.8425
3.1110 5.3584 25.0988
3.2010 7.1535 29.4779
3.3183 5.4840 11.6787
3.7047 5.5710 7.3942
3.9486 6.3910 2.8803
3.9882 2.5885 18.4140
4.2321 1.7685 22.9279
4.6185 1.6815 27.2124
4.7359 3.3510 13.9442
4.8258 1.5559 9.5651
5.1463 2.9939 0.3087
5.2406 2.2140 5.1042
6.4075 4.9596 17.9960
6.7682 5.5445 22.6615
6.9465 5.1561 27.1968
6.9719 7.1121 14.0126
7.5480 6.3186 0.8433
7.6126 5.9911 4.9982
7.7152 5.7201 9.3933
8.1584 1.8849 24.9271
8.2610 1.6139 20.5319
8.3257 1.2864 16.3770
8.9018 0.4929 29.5463
8.9271 2.4489 11.6631
9.1054 2.0605 7.1278
9.4661 2.6454 2.4623
10.6330 5.3910 20.6380
10.7273 4.6111 15.8425
11.0478 6.0491 25.0988
11.1378 4.2540 29.4779
11.2551 5.9235 11.6787
11.6415 5.8365 7.3942
11.8854 5.0166 2.8803
11.9250 1.2141 18.4140
12.1690 2.0340 22.9279
12.5553 2.1210 27.2124
12.6727 0.4515 13.9442
12.7627 2.2466 9.5651
13.0832 0.8086 0.3087
13.1774 1.5885 5.1042
14.3444 6.4479 17.9960
14.7051 5.8630 22.6615
14.8834 6.2514 27.1968
14.9087 4.2955 14.0126
15.4848 5.0889 0.8433
15.5494 5.4164 4.9982
15.6520 5.6875 9.3933
```

Summary:
* total moment: 0.0 μB per cell
* SG: No. 33
* calculated total energy: -2.13 eV per atom
* formation energy without anion corrections: -0.27 eV/atom

***

A plane-wave DFT calculation with PBE was carried out for a geometry-optimized InTeI structure.

```
InTeI
1.0
4.4455 0.0000 0.0000
0.0000 6.4393 0.0000
-2.1068 0.0000 9.0398
In Te I
2 2 2
Cartesian
0.0579 0.0000 3.5180
2.2808 3.2197 5.5218
0.0579 4.9885 5.9736
2.2808 1.7688 3.0662
0.0572 4.7362 1.3702
2.2815 1.5166 7.6695
```

Summary:
* total moment: 0.0 μB per cell
* SG: No. 4
* calculated total energy: -2.90 eV per atom
* formation energy without anion corrections: -0.42 eV/atom

***

A plane-wave DFT calculation with PBE was carried out for a geometry-optimized InTeI3 structure.

```
InTeI3
1.0
6.1513 0.0000 0.0000
0.0000 6.1513 0.0000
0.0000 0.0000 6.1513
In Te I
1 1 3
Cartesian
0.0000 0.0000 0.0000
3.0757 3.0757 3.0757
0.0000 3.0757 3.0757
3.0757 0.0000 3.0757
3.0757 3.0757 0.0000
```

Summary:
* total moment: 0.0 μB per cell
* SG: No. 221
* calculated total energy: -2.22 eV per atom
* formation energy without anion corrections: -0.12 eV/atom

***

- Look up the formation energy without anion corrections of the second one.
  0.95 eV/atom

***

- What is the formula in the first record?
  InTcI3

***

Repeat the sixth record exactly.
A plane-wave DFT calculation with PBE was carried out for a geometry-optimized InTcTe2I structure.

```
InTcTe2I
1.0
5.6791 0.0000 0.0000
0.0000 5.6791 0.0000
0.0000 0.0000 5.7884
In Tc Te I
1 1 2 1
Cartesian
0.0000 0.0000 0.0000
2.8396 2.8396 2.8942
0.0000 2.8396 0.0000
2.8396 0.0000 0.0000
0.0000 0.0000 2.8942
```

Summary:
* total moment: 5.2 μB per cell
* SG: No. 123
* calculated total energy: -3.13 eV per atom
* formation energy without anion corrections: 1.05 eV/atom